Model w:
Material: CsCdS2Cl
Method: DFT, GGA-PBE
State: relaxed Values from VASP.

Quantum ESPRESSO input file:
```
&SYSTEM
  ibrav = 0, nat = 5, ntyp = 4
/
ATOMIC_SPECIES
Cs 132.91 Cs.upf
Cd 112.41 Cd.upf
S 32.06 S.upf
Cl 35.45 Cl.upf
CELL_PARAMETERS angstrom
5.0947 0.0000 0.0000
0.0000 5.0947 0.0000
0.0000 0.0000 5.7975
ATOMIC_POSITIONS angstrom
Cs 0.0000 0.0000 0.0000
Cd 2.5473 2.5473 2.8987
S 0.0000 2.5473 2.8987
S 2.5473 0.0000 2.8987
Cl 2.5473 2.5473 0.0000
```

---

Model x:
Material: CsCdS2Cl
Method: DFT, GGA-PBE
State: relaxed Values from VASP.

Quantum ESPRESSO input file:
```
&SYSTEM
  ibrav = 0, nat = 5, ntyp = 4
/
ATOMIC_SPECIES
Cs 132.91 Cs.upf
Cd 112.41 Cd.upf
S 32.06 S.upf
Cl 35.45 Cl.upf
CELL_PARAMETERS angstrom
5.4601 0.0000 0.0000
0.0000 5.4601 0.0000
0.0000 0.0000 6.2585
ATOMIC_POSITIONS angstrom
Cs 0.0000 0.0000 0.0000
Cd 2.7301 2.7301 3.1292
S 0.0000 2.7301 0.0000
S 2.7301 0.0000 0.0000
Cl 0.0000 0.0000 3.1292
```

---

Stability ranking, top and bottom: model w is the most stable and model x is the least stable.

---

Model w:
Material: CdCuCl4
Method: DFT, GGA-PBE
State: relaxed Values from VASP.

Quantum ESPRESSO input file:
```
&SYSTEM
  ibrav = 0, nat = 12, ntyp = 3
/
ATOMIC_SPECIES
Cd 112.41 Cd.upf
Cu 63.55 Cu.upf
Cl 35.45 Cl.upf
CELL_PARAMETERS angstrom
7.8446 -1.9797 0.0000
7.8446 1.9797 0.0000
-7.6427 0.0000 10.2253
ATOMIC_POSITIONS angstrom
Cd 2.1125 1.8538 7.6690
Cd 5.9339 -1.8538 2.5563
Cu 7.8446 0.0000 0.0000
Cu 4.0232 0.0000 5.1127
Cl -0.2879 1.4703 8.5304
Cl 4.5130 1.4703 6.8076
Cl 5.6240 0.1637 0.7162
Cl 1.8026 -0.1637 5.8289
Cl 6.2438 0.1637 4.3965
Cl 2.4224 -0.1637 9.5091
Cl 3.5335 -1.4703 3.4177
Cl 8.3343 -1.4703 1.6949
```

---

Model x:
Material: CdCuCl4
Method: DFT, GGA-PBE
State: relaxed Values from VASP.

Quantum ESPRESSO input file:
```
&SYSTEM
  ibrav = 0, nat = 6, ntyp = 3
/
ATOMIC_SPECIES
Cd 112.41 Cd.upf
Cu 63.55 Cu.upf
Cl 35.45 Cl.upf
CELL_PARAMETERS angstrom
0.0000 4.1802 4.1802
4.1802 0.0000 4.1802
4.1802 4.1802 0.0000
ATOMIC_POSITIONS angstrom
Cd 0.0000 0.0000 0.0000
Cu 2.0901 2.0901 2.0901
Cl 5.2289 3.1314 3.1314
Cl 3.1314 5.2289 3.1314
Cl 3.1314 3.1314 5.2289
Cl 5.2289 5.2289 5.2289
```

---

Model y:
Material: CdCuCl4
Method: DFT, GGA-PBE
State: relaxed Values from VASP.

Quantum ESPRESSO input file:
```
&SYSTEM
  ibrav = 0, nat = 12, ntyp = 3
/
ATOMIC_SPECIES
Cd 112.41 Cd.upf
Cu 63.55 Cu.upf
Cl 35.45 Cl.upf
CELL_PARAMETERS angstrom
5.3918 -3.7090 0.0000
5.3918 3.7090 0.0000
-0.8049 0.0000 7.8258
ATOMIC_POSITIONS angstrom
Cd 2.6959 1.8545 0.0000
Cd 2.2934 -1.8545 3.9129
Cu 4.7881 2.6376 5.8694
Cu 5.1906 -2.6376 1.9565
Cl 2.0009 0.6024 2.3120
Cl 5.2025 1.8073 0.1299
Cl 5.1787 1.8073 3.7830
Cl 1.5984 -0.6024 6.2249
Cl 8.3803 0.6024 1.6009
Cl 4.8001 -1.8073 4.0428
Cl 4.7762 -1.8073 7.6959
Cl 7.9779 -0.6024 5.5138
```

---

Stability ranking, top and bottom: model w is the most stable and model x is the least stable.

---

Model w:
Material: Cd3CuCl
Method: DFT, GGA-PBE
State: relaxed Values from VASP.

Quantum ESPRESSO input file:
```
&SYSTEM
  ibrav = 0, nat = 5, ntyp = 3
/
ATOMIC_SPECIES
Cd 112.41 Cd.upf
Cu 63.55 Cu.upf
Cl 35.45 Cl.upf
CELL_PARAMETERS angstrom
5.4634 0.0000 0.0000
0.0000 5.4634 0.0000
0.0000 0.0000 5.4634
ATOMIC_POSITIONS angstrom
Cd 0.0000 0.0000 2.7317
Cd 0.0000 2.7317 0.0000
Cd 2.7317 0.0000 0.0000
Cu 2.7317 2.7317 2.7317
Cl 0.0000 0.0000 0.0000
```

---

Model x:
Material: Cd3CuCl
Method: DFT, GGA-PBE
State: relaxed Values from VASP.

Quantum ESPRESSO input file:
```
&SYSTEM
  ibrav = 0, nat = 5, ntyp = 3
/
ATOMIC_SPECIES
Cd 112.41 Cd.upf
Cu 63.55 Cu.upf
Cl 35.45 Cl.upf
CELL_PARAMETERS angstrom
5.0970 0.0000 0.0000
0.0000 5.0970 0.0000
0.0000 0.0000 5.0970
ATOMIC_POSITIONS angstrom
Cd 0.0000 0.0000 2.5485
Cd 0.0000 2.5485 0.0000
Cd 2.5485 0.0000 0.0000
Cu 0.0000 0.0000 0.0000
Cl 2.5485 2.5485 2.5485
```

---

Stability ranking, top and bottom: model x is the most stable and model w is the least stable.

---

Model w:
Material: CdCuI2Cl
Method: DFT, GGA-PBE
State: relaxed Values from VASP.

Quantum ESPRESSO input file:
```
&SYSTEM
  ibrav = 0, nat = 5, ntyp = 4
/
ATOMIC_SPECIES
Cd 112.41 Cd.upf
Cu 63.55 Cu.upf
I 126.90 I.upf
Cl 35.45 Cl.upf
CELL_PARAMETERS angstrom
6.4790 0.0000 0.0000
0.0000 6.4790 0.0000
0.0000 0.0000 4.1932
ATOMIC_POSITIONS angstrom
Cd 0.0000 0.0000 0.0000
Cu 3.2395 3.2395 0.0000
I 0.0000 3.2395 2.0966
I 3.2395 0.0000 2.0966
Cl 3.2395 3.2395 2.0966
```

---

Model x:
Material: CdCuI2Cl
Method: DFT, GGA-PBE
State: relaxed Values from VASP.

Quantum ESPRESSO input file:
```
&SYSTEM
  ibrav = 0, nat = 5, ntyp = 4
/
ATOMIC_SPECIES
Cd 112.41 Cd.upf
Cu 63.55 Cu.upf
I 126.90 I.upf
Cl 35.45 Cl.upf
CELL_PARAMETERS angstrom
5.1296 0.0000 0.0000
0.0000 5.1296 0.0000
0.0000 0.0000 5.7503
ATOMIC_POSITIONS angstrom
Cd 0.0000 0.0000 0.0000
Cu 0.0000 0.0000 2.8751
I 0.0000 2.5648 2.8751
I 2.5648 0.0000 2.8751
Cl 2.5648 2.5648 0.0000
```

---

Stability ranking, top and bottom: model x is the most stable and model w is the least stable.

---

Model w:
Material: CdCuPCl2
Method: DFT, GGA-PBE
State: relaxed Values from VASP.

Quantum ESPRESSO input file:
```
&SYSTEM
  ibrav = 0, nat = 5, ntyp = 4
/
ATOMIC_SPECIES
Cd 112.41 Cd.upf
Cu 63.55 Cu.upf
P 30.97 P.upf
Cl 35.45 Cl.upf
CELL_PARAMETERS angstrom
4.5277 0.0000 0.0000
0.0000 4.5277 0.0000
0.0000 0.0000 5.1961
ATOMIC_POSITIONS angstrom
Cd 0.0000 0.0000 0.0000
Cu 2.2638 2.2638 2.5980
P 2.2638 2.2638 0.0000
Cl 0.0000 2.2638 2.5980
Cl 2.2638 0.0000 2.5980
```

---

Model x:
Material: CdCuPCl2
Method: DFT, GGA-PBE
State: relaxed Values from VASP.

Quantum ESPRESSO input file:
```
&SYSTEM
  ibrav = 0, nat = 5, ntyp = 4
/
ATOMIC_SPECIES
Cd 112.41 Cd.upf
Cu 63.55 Cu.upf
P 30.97 P.upf
Cl 35.45 Cl.upf
CELL_PARAMETERS angstrom
5.2094 0.0000 0.0000
0.0000 5.2094 0.0000
0.0000 0.0000 5.1561
ATOMIC_POSITIONS angstrom
Cd 0.0000 0.0000 0.0000
Cu 2.6047 2.6047 2.5781
P 0.0000 0.0000 2.5781
Cl 0.0000 2.6047 0.0000
Cl 2.6047 0.0000 0.0000
```

---

Stability ranking, top and bottom: model w is the most stable and model x is the least stable.

---

Model w:
Material: ErCdCl5
Method: DFT, GGA-PBE
State: relaxed Values from VASP.

Quantum ESPRESSO input file:
```
&SYSTEM
  ibrav = 0, nat = 14, ntyp = 3
/
ATOMIC_SPECIES
Er 167.26 Er.upf
Cd 112.41 Cd.upf
Cl 35.45 Cl.upf
CELL_PARAMETERS angstrom
5.5871 -4.2532 0.0000
5.5871 4.2532 0.0000
-3.5981 0.0000 8.5075
ATOMIC_POSITIONS angstrom
Er 2.8885 3.8426 6.3806
Er 4.6876 -3.8426 2.1269
Cd 5.5871 0.0000 0.0000
Cd 3.7880 0.0000 4.2537
Cl 5.2461 2.7297 0.3510
Cl 4.1291 2.7297 3.9027
Cl 1.4840 0.4103 3.0550
Cl -0.3150 -0.4103 7.3087
Cl 2.8885 1.1053 6.3806
Cl 4.6876 -1.1053 2.1269
Cl 7.8911 0.4103 1.1987
Cl 6.0921 -0.4103 5.4525
Cl 3.4470 -2.7297 4.6048
Cl 2.3300 -2.7297 8.1565
```

---

Model x:
Material: ErCdCl5
Method: DFT, GGA-PBE
State: relaxed Values from VASP.

Quantum ESPRESSO input file:
```
&SYSTEM
  ibrav = 0, nat = 14, ntyp = 3
/
ATOMIC_SPECIES
Er 167.26 Er.upf
Cd 112.41 Cd.upf
Cl 35.45 Cl.upf
CELL_PARAMETERS angstrom
3.6918 -6.7146 0.0000
3.6918 6.7146 0.0000
-3.3536 0.0000 9.0000
ATOMIC_POSITIONS angstrom
Er 0.0000 0.0000 0.0000
Er -1.6768 0.0000 4.5000
Cd 1.1766 0.5561 6.7500
Cd 2.8534 -0.5561 2.2500
Cl -0.6859 2.0153 5.8737
Cl 1.1766 5.6010 6.7500
Cl 2.3322 1.1681 0.4085
Cl 0.9909 -2.0153 1.3737
Cl 0.6554 -1.1681 4.9085
Cl 3.3746 1.1681 4.0915
Cl 3.0392 2.0153 7.6262
Cl 1.6978 -1.1681 8.5914
Cl 2.8534 -5.6010 2.2500
Cl 4.7160 -2.0153 3.1262
```

---

Stability ranking, top and bottom: model x is the most stable and model w is the least stable.